6
Lattice="0.000 3.646 3.646 3.646 0.000 3.646 3.646 3.646 0.000" Properties=species:S:1:pos:R:3 comment="OsPt2 (GGA-PBE, relaxed)" formation_energy_ev_per_atom=0.815 density_g_cm3=19.9 n_ef_per_ev_atom=1.49 energy_ev_per_atom=-6.955 polymorph_energy_mev_per_atom=743 pbc="T T T"
Os 0.911 0.911 0.911
Os 6.380 6.380 6.380
Pt 3.646 1.823 1.823
Pt 1.823 3.646 1.823
Pt 1.823 1.823 3.646
Pt 3.646 3.646 3.646

***

3
Lattice="4.389 0.000 0.000 -2.195 3.801 0.000 0.000 0.000 2.732" Properties=species:S:1:pos:R:3 comment="Os2Pt (GGA-PBE, relaxed)" formation_energy_ev_per_atom=0.437 density_g_cm3=21.0 n_ef_per_ev_atom=1.40 energy_ev_per_atom=-9.063 polymorph_energy_mev_per_atom=388 pbc="T T T"
Os 0.000 2.534 0.000
Os 2.195 1.267 0.000
Pt 0.000 0.000 1.366

***

8
Lattice="5.616 0.000 0.000 0.000 5.616 0.000 0.000 0.000 5.616" Properties=species:S:1:pos:R:3 comment="OsPt (GGA-PBE, relaxed)" formation_energy_ev_per_atom=1.334 density_g_cm3=14.4 n_ef_per_ev_atom=1.05 energy_ev_per_atom=-7.301 pbc="T T T"
Os 0.000 0.000 0.000
Os 0.000 2.808 2.808
Os 2.808 0.000 2.808
Os 2.808 2.808 0.000
Pt 1.404 1.404 1.404
Pt 1.404 4.212 4.212
Pt 4.212 1.404 4.212
Pt 4.212 4.212 1.404

***

3
Lattice="4.482 0.000 0.000 -2.241 3.881 0.000 0.000 0.000 2.662" Properties=species:S:1:pos:R:3 comment="OsPt2 (GGA-PBE, relaxed)" formation_energy_ev_per_atom=0.364 density_g_cm3=20.8 n_ef_per_ev_atom=1.42 energy_ev_per_atom=-7.407 polymorph_energy_mev_per_atom=291 pbc="T T T"
Os 0.000 0.000 0.000
Pt 0.000 2.588 1.331
Pt 2.241 1.294 1.331

***

12
Lattice="3.944 0.000 0.000 0.000 11.934 0.000 0.000 0.000 3.933" Properties=species:S:1:pos:R:3 comment="OsPt5 (GGA-PBE, relaxed)" formation_energy_ev_per_atom=0.078 density_g_cm3=20.9 n_ef_per_ev_atom=1.48 energy_ev_per_atom=-6.827 polymorph_energy_mev_per_atom=0 pbc="T T T"
Os 0.000 0.000 0.000
Os 1.972 5.967 0.000
Pt 0.000 1.947 1.966
Pt 0.000 4.031 0.000
Pt 0.000 5.967 1.966
Pt 0.000 7.903 0.000
Pt 0.000 9.987 1.966
Pt 1.972 0.000 1.966
Pt 1.972 1.936 0.000
Pt 1.972 4.020 1.966
Pt 1.972 7.915 1.966
Pt 1.972 9.998 0.000

***

3
Lattice="4.528 0.000 0.000 0.000 4.528 0.000 0.000 0.000 2.652" Properties=species:S:1:pos:R:3 comment="Os2Pt (GGA-PBE, relaxed)" formation_energy_ev_per_atom=1.328 density_g_cm3=17.6 n_ef_per_ev_atom=1.85 energy_ev_per_atom=-8.172 polymorph_energy_mev_per_atom=1279 pbc="T T T"
Os 0.000 2.264 0.000
Os 2.264 0.000 0.000
Pt 0.000 0.000 1.326